Entry from Alexandria via LeMat-Bulk: an optimized crystal structure of Cs2IrSF6 (GGA-PBE).

a = 6.5759 Å, b = 6.5759 Å, c = 6.9064 Å
α = 61.57°, β = 61.57°, γ = 90.00°
Closest atoms and distances in Å follow each position.
Element x y z (fractional)
Cs  0.2500  0.7500  0.5000  12 F 3.34-3.47
F  0.2131  0.2131  0.0000  1 Ir 1.98
S  0.5000  0.5000  0.0000  4 F 2.67
F  0.2131  0.7869  0.0000  1 Ir 1.98
F  0.1929  0.1929  0.6142  1 Ir 1.97
F  0.7869  0.2131  0.0000  1 Ir 1.98
F  0.7869  0.7869  0.0000  1 Ir 1.98
Ir  0.0000  0.0000  0.0000  6 F 1.97-1.98
F  0.8071  0.8071  0.3858  1 Ir 1.97
Cs  0.7500  0.2500  0.5000  12 F 3.34-3.47

## Properties
Spin magnetization = 3.00 μB/f.u.
Uncorrected formation energy = -16.7 eV/f.u.
Electronic total energy = -4.2670 eV per atom
Symmetry = I4/mmm, No. 139

Entry from Alexandria via LeMat-Bulk: an optimized crystal structure of VNiRh2 (GGA-PBE).

a = 4.2111 Å, b = 4.2111 Å, c = 4.2111 Å
α = 60.00°, β = 60.00°, γ = 60.00°
Closest atoms and distances in Å follow each position.
Element x y z (fractional)
V  0.0000  0.0000  0.0000  8 Rh 2.58
Rh  0.2500  0.2500  0.2500  4 Ni 2.58, 4 V 2.58
Rh  0.7500  0.7500  0.7500  4 Ni 2.58, 4 V 2.58
Ni  0.5000  0.5000  0.5000  8 Rh 2.58

## Properties
Spin magnetization = 0.00 μB/f.u.
Formation energy = -203.3 meV per atom
Electronic total energy = -7.6040 eV per atom
Symmetry = Fm-3m, No. 225